[1]
{
  "formula": "Ac3RuRh",
  "functional": "GGA-PBE",
  "state": "relaxed",
  "lattice": [[-4.185, 0.769, -0.841], [-1.181, -1.890, -7.034], [-4.240, -10.217, 0.577]],
  "species": ["Ru", "Ru", "Ac", "Ac", "Ac", "Rh", "Ac", "Rh", "Ac", "Ac"],
  "fractional_positions": [[0.352, 0.975, 0.322], [0.648, 0.025, 0.678], [0.998, 0.751, 0.253], [0.677, 0.736, 0.909], [0.323, 0.264, 0.091], [0.654, 0.520, 0.171], [0.682, 0.226, 0.411], [0.346, 0.480, 0.829], [0.318, 0.774, 0.589], [0.002, 0.249, 0.747]],
  "dos_ef_per_ev_fu": 1.5,
  "polymorph_energy_ev_per_atom": 0.000
}


[2]
{
  "formula": "Y5In2Tc",
  "functional": "GGA-PBE",
  "state": "relaxed",
  "lattice": [[5.025, 0.000, 0.000], [0.000, 6.679, 0.000], [0.000, 0.000, 12.678]],
  "species": ["Y", "Y", "Y", "In", "Tc", "Tc", "Y", "Y", "Y", "In", "In", "Y", "Y", "In", "Y", "Y"],
  "fractional_positions": [[0.000, 0.890, 0.716], [0.500, 0.169, 0.596], [0.500, 0.831, 0.404], [0.500, 0.135, 0.851], [0.000, 0.500, 0.000], [0.000, 0.000, 0.500], [0.000, 0.610, 0.216], [0.500, 0.669, 0.904], [0.000, 0.000, 0.000], [0.500, 0.635, 0.649], [0.500, 0.365, 0.351], [0.000, 0.500, 0.500], [0.000, 0.110, 0.284], [0.500, 0.865, 0.149], [0.500, 0.331, 0.096], [0.000, 0.390, 0.784]],
  "dos_ef_per_ev_fu": 6.2,
  "energy_ev_per_fu": -50.50
}


[3]
{
  "formula": "Tc2PBr",
  "functional": "GGA-PBE",
  "state": "relaxed",
  "lattice": [[-7.225, 3.193, -1.004], [-7.675, 0.422, -2.080], [-7.859, 0.934, 0.877]],
  "species": ["Tc", "Br", "Tc", "P"],
  "fractional_positions": [[0.009, 0.009, 0.009], [0.250, 0.250, 0.250], [0.491, 0.491, 0.491], [0.750, 0.750, 0.750]],
  "dos_ef_per_ev_fu": 3.2,
  "polymorph_energy_ev_per_atom": 0.306,
  "raw_formation_energy_kj_per_mol_atoms": 24
}


[4]
{
  "formula": "KRbF2",
  "functional": "GGA-PBE",
  "state": "relaxed",
  "lattice": [[3.145, -3.481, -0.743], [1.183, -2.929, 3.547], [-1.440, -4.525, -0.077]],
  "species": ["F", "K", "F", "Rb"],
  "fractional_positions": [[0.750, 0.750, 0.750], [0.000, 0.000, 0.000], [0.250, 0.250, 0.250], [0.500, 0.500, 0.500]],
  "dos_ef_per_ev_fu": 0.0,
  "polymorph_energy_ev_per_atom": 0.102,
  "raw_formation_energy_kj_per_mol_atoms": -250
}


[5]
{
  "formula": "Re2IrF2",
  "functional": "GGA-PBE",
  "state": "relaxed",
  "lattice": [[3.402, 0.000, 0.000], [0.000, 3.402, 0.000], [1.701, 1.701, 5.676]],
  "species": ["Re", "F", "Ir", "F", "Re"],
  "fractional_positions": [[0.397, 0.397, 0.206], [0.750, 0.250, 0.500], [0.000, 0.000, 0.000], [0.250, 0.750, 0.500], [0.603, 0.603, 0.794]],
  "dos_ef_per_ev_fu": 3.2,
  "polymorph_energy_ev_per_atom": 0.000,
  "raw_formation_energy_kj_per_mol_atoms": -38
}


[6]
{
  "formula": "BaV2Se2",
  "functional": "GGA-PBE",
  "state": "relaxed",
  "lattice": [[8.008, 0.000, 0.000], [0.000, 8.008, 0.000], [0.000, 0.000, 3.607]],
  "species": ["Ba", "Se", "V", "Se", "V", "Se", "V", "V", "Ba", "Se"],
  "fractional_positions": [[0.500, 0.500, 0.000], [0.667, 0.833, 0.500], [0.919, 0.581, 0.000], [0.167, 0.667, 0.500], [0.419, 0.919, 0.000], [0.333, 0.167, 0.500], [0.081, 0.419, 0.000], [0.581, 0.081, 0.000], [0.000, 0.000, 0.000], [0.833, 0.333, 0.500]],
  "dos_ef_per_ev_fu": 3.4,
  "polymorph_energy_ev_per_atom": 0.388,
  "raw_formation_energy_kj_per_mol_atoms": -25
}


[7]
{
  "formula": "Ti2MnFe2",
  "functional": "GGA-PBE",
  "state": "relaxed",
  "lattice": [[5.794, 0.000, 0.000], [0.000, 5.794, 0.000], [0.000, 0.000, 3.958]],
  "species": ["Ti", "Mn", "Mn", "Fe", "Ti", "Ti", "Fe", "Fe", "Fe", "Ti"],
  "fractional_positions": [[0.681, 0.819, 0.500], [0.500, 0.500, 0.000], [0.000, 0.000, 0.000], [0.637, 0.137, 0.000], [0.181, 0.681, 0.500], [0.319, 0.181, 0.500], [0.363, 0.863, 0.000], [0.137, 0.363, 0.000], [0.863, 0.637, 0.000], [0.819, 0.319, 0.500]],
  "dos_ef_per_ev_fu": 5.9,
  "energy_ev_per_fu": -42.15
}


[8]
{
  "formula": "TbGaOs",
  "functional": "GGA-PBE",
  "state": "relaxed",
  "lattice": [[-0.565, -1.270, -3.031], [-2.612, -1.693, 1.196], [-1.477, 5.440, -0.171]],
  "species": ["Os", "Tb", "Ga"],
  "fractional_positions": [[0.260, 0.260, 0.520], [0.942, 0.942, 0.884], [0.648, 0.648, 0.296]],
  "dos_ef_per_ev_fu": 1.1,
  "energy_ev_per_fu": -19.63
}


[9]
{
  "formula": "TiHN2Cl",
  "functional": "GGA-PBE",
  "state": "relaxed",
  "lattice": [[-0.849, 0.052, 3.629], [3.330, -2.941, 0.821], [2.372, 2.829, 0.514]],
  "species": ["Ti", "N", "Cl", "N", "H"],
  "fractional_positions": [[0.000, 0.500, 0.000], [0.500, 0.000, 0.000], [0.000, 0.000, 0.000], [0.000, 0.000, 0.500], [0.500, 0.500, 0.500]],
  "dos_ef_per_ev_fu": 5.0,
  "energy_ev_per_fu": -19.14
}


[10]
{
  "formula": "KIn3Au3",
  "functional": "GGA-PBE",
  "state": "relaxed",
  "lattice": [[-6.478, -2.681, 2.656], [-2.831, -6.372, -2.756], [1.232, -7.543, 5.974]],
  "species": ["Au", "In", "Au", "In", "K", "Au", "In", "In", "Au", "K", "Au", "Au", "In", "In"],
  "fractional_positions": [[0.742, 0.565, 0.687], [0.667, 0.169, 0.348], [0.258, 0.435, 0.313], [0.184, 0.333, 0.652], [0.347, 0.347, 0.958], [0.565, 0.006, 0.687], [0.831, 0.184, 0.652], [0.169, 0.816, 0.348], [0.994, 0.258, 0.313], [0.653, 0.653, 0.042], [0.435, 0.994, 0.313], [0.006, 0.742, 0.687], [0.816, 0.667, 0.348], [0.333, 0.831, 0.652]],
  "dos_ef_per_ev_fu": 3.0,
  "polymorph_energy_ev_per_atom": 0.003
}


[11]
{
  "formula": "AlCu2Se",
  "functional": "GGA-PBE",
  "state": "relaxed",
  "lattice": [[-2.953, 1.373, 1.543], [-2.010, 0.060, -3.899], [-1.339, -3.593, 0.635]],
  "species": ["Cu", "Se", "Al", "Cu"],
  "fractional_positions": [[0.000, 0.000, 0.000], [0.500, 0.000, 0.500], [0.000, 0.500, 0.500], [0.500, 0.500, 0.000]],
  "dos_ef_per_ev_fu": 1.2,
  "raw_formation_energy_kj_per_mol_atoms": 11
}


[12]
{
  "formula": "AcHo2FeN4",
  "functional": "GGA-PBE",
  "state": "relaxed",
  "lattice": [[3.461, 0.000, 0.000], [-1.730, 5.822, 0.000], [0.000, 0.000, 11.583]],
  "species": ["Ac", "N", "N", "N", "N", "Ho", "Ho", "Fe", "Ho", "N", "N", "N", "Ho", "Ac", "N", "Fe"],
  "fractional_positions": [[0.899, 0.797, 0.250], [0.000, 0.000, 0.500], [0.263, 0.527, 0.376], [0.403, 0.806, 0.750], [0.263, 0.527, 0.124], [0.367, 0.735, 0.955], [0.633, 0.265, 0.045], [0.166, 0.333, 0.250], [0.633, 0.265, 0.455], [0.737, 0.473, 0.624], [0.737, 0.473, 0.876], [0.597, 0.194, 0.250], [0.367, 0.735, 0.545], [0.101, 0.203, 0.750], [0.000, 0.000, 0.000], [0.834, 0.667, 0.750]],
  "dos_ef_per_ev_fu": 3.3,
  "raw_formation_energy_kj_per_mol_atoms": -109
}


[13]
{
  "formula": "PmLuPb2",
  "functional": "GGA-PBE",
  "state": "relaxed",
  "lattice": [[-2.537, -1.960, 1.523], [0.554, -2.570, -2.385], [6.134, -3.718, 5.431]],
  "species": ["Pm", "Pb", "Lu", "Pb"],
  "fractional_positions": [[0.500, 0.500, 0.500], [0.000, 0.000, 0.761], [0.500, 0.500, 0.000], [0.000, 0.000, 0.239]],
  "dos_ef_per_ev_fu": 3.5,
  "energy_ev_per_fu": -18.35
}


[14]
{
  "formula": "EuHoHg",
  "functional": "GGA-PBE",
  "state": "relaxed",
  "lattice": [[3.785, 0.000, 0.000], [0.000, 3.785, 0.000], [-1.892, -1.892, 6.454]],
  "species": ["Eu", "Hg", "Ho"],
  "fractional_positions": [[0.016, 0.016, 0.032], [0.681, 0.681, 0.361], [0.303, 0.303, 0.606]],
  "dos_ef_per_ev_fu": 3.3,
  "polymorph_energy_ev_per_atom": 0.000
}


[15]
{
  "formula": "Ba2CaZr",
  "functional": "GGA-PBE",
  "state": "relaxed",
  "lattice": [[7.210, 0.004, -0.030], [6.152, 3.759, -0.030], [2.197, 0.618, 6.258]],
  "species": ["Ba", "Ba", "Zr", "Ca"],
  "fractional_positions": [[0.761, 0.761, 0.708], [0.973, 0.973, 0.064], [0.233, 0.233, 0.222], [0.533, 0.533, 0.506]],
  "dos_ef_per_ev_fu": 6.1,
  "polymorph_energy_ev_per_atom": 0.068
}


[16]
{
  "formula": "Th4CSe3",
  "functional": "GGA-PBE",
  "state": "relaxed",
  "lattice": [[5.739, 0.000, 0.000], [0.000, 7.692, 0.000], [0.000, 0.000, 10.285]],
  "species": ["Se", "Th", "Th", "Th", "Th", "Se", "C", "Th", "Se", "Se", "Th", "C", "Th", "Se", "Th", "Se"],
  "fractional_positions": [[0.564, 0.354, 0.768], [0.564, 0.183, 0.500], [0.064, 0.817, 0.000], [0.064, 0.244, 0.788], [0.064, 0.877, 0.500], [0.564, 0.735, 0.000], [0.565, 0.874, 0.500], [0.564, 0.123, 0.000], [0.064, 0.265, 0.500], [0.064, 0.646, 0.732], [0.564, 0.756, 0.712], [0.065, 0.126, 0.000], [0.564, 0.756, 0.288], [0.564, 0.354, 0.232], [0.064, 0.244, 0.212], [0.064, 0.646, 0.268]],
  "dos_ef_per_ev_fu": 4.3,
  "polymorph_energy_ev_per_atom": 0.251,
  "raw_formation_energy_kj_per_mol_atoms": -98
}


[17]
{
  "formula": "AcPt2Pb",
  "functional": "GGA-PBE",
  "state": "relaxed",
  "lattice": [[-0.939, 2.813, -2.329], [-3.564, -2.926, -2.097], [-3.371, 1.679, 3.387]],
  "species": ["Pt", "Pb", "Pt", "Ac"],
  "fractional_positions": [[0.000, 0.000, 0.500], [0.500, 0.000, 0.000], [0.000, 0.500, 0.000], [0.500, 0.500, 0.500]],
  "dos_ef_per_ev_fu": 1.6,
  "energy_ev_per_fu": -22.34
}


[18]
{
  "formula": "ScTc2Ni",
  "functional": "GGA-PBE",
  "state": "relaxed",
  "lattice": [[-2.152, 0.708, -3.743], [2.959, -2.407, -2.144], [-2.106, -1.690, 3.443]],
  "species": ["Tc", "Ni", "Tc", "Sc"],
  "fractional_positions": [[0.000, 0.000, 0.000], [0.500, 0.500, 0.000], [0.250, 0.750, 0.500], [0.750, 0.250, 0.500]],
  "dos_ef_per_ev_fu": 5.8,
  "polymorph_energy_ev_per_atom": 0.013
}


[19]
{
  "formula": "ThGe2Pb",
  "functional": "GGA-PBE",
  "state": "relaxed",
  "lattice": [[-3.285, 0.889, 2.619], [-2.474, -3.555, -1.897], [1.775, -2.960, 3.232]],
  "species": ["Ge", "Pb", "Ge", "Th"],
  "fractional_positions": [[0.000, 0.000, 0.500], [0.500, 0.000, 0.000], [0.000, 0.500, 0.000], [0.500, 0.500, 0.500]],
  "dos_ef_per_ev_fu": 2.0,
  "energy_ev_per_fu": -21.77
}


[20]
{
  "formula": "NaH2OF",
  "functional": "GGA-PBE",
  "state": "relaxed",
  "lattice": [[3.078, 0.000, 0.000], [-1.539, 4.404, 0.000], [0.000, 0.000, 6.754]],
  "species": ["F", "Na", "H", "H", "H", "H", "O", "Na", "O", "F"],
  "fractional_positions": [[0.310, 0.621, 0.250], [0.616, 0.231, 0.250], [0.911, 0.822, 0.414], [0.911, 0.822, 0.086], [0.089, 0.178, 0.914], [0.089, 0.178, 0.586], [0.000, 0.000, 0.000], [0.384, 0.769, 0.750], [0.000, 0.000, 0.500], [0.690, 0.379, 0.750]],
  "dos_ef_per_ev_fu": 0.0,
  "energy_ev_per_fu": -21.79
}